4
Lattice="-1.8829 2.5667 -4.4760 0.9114 -2.3831 -4.8640 -1.9792 -1.5012 4.8987" Properties=species:S:1:pos:R:3 comment="PBE-GGA CuAg2Br, optimized geometry" polymorph_energy_mev_per_atom=285 vol_a3_per_atom=19.05 e_form_raw_mev_per_atom=321 e_tot_ev_per_cell=-10.19 magmom_total_mub_per_fu=0.00 n_ef_per_ev_fu=0.7 sg=I-4m2 pbc="T T T"
Ag 0.0000 0.0000 0.0000
Ag -0.7767 -1.8962 -2.3177
Cu -2.1739 0.5786 -2.1237
Br -0.4857 0.0918 -4.6700